A geometry-optimized PrAg2Br6 structure, computed with PBE-GGA.

energy above the most stable polymorph in this dataset	12	meV per atom

Cell lengths 14.5922, 11.6859, 7.1671 Å; angles 90.00, 110.74, 90.00 degrees
Closest atoms and distances in Å follow each position.
Space group C2/c (No. 15)
Asymmetric unit:
Pr1 0.0000 0.1506 0.2500 (multiplicity 4)  8 Br 2.95-3.27
Ag1 0.1729 0.4465 0.2107 (multiplicity 8)  4 Br 2.62-2.85
Br1 0.1185 0.0525 0.6531 (multiplicity 8)  1 Ag 2.85, 2 Pr 3.02-3.16
Br2 0.1176 0.2502 0.0299 (multiplicity 8)  1 Ag 2.62
Br3 0.1322 0.3597 0.5127 (multiplicity 8)  2 Ag 2.63-2.64

***

A geometry-optimized PrAg2Br6 structure, computed with PBE-GGA.

energy above the most stable polymorph in this dataset	0	meV per atom

Cell lengths 13.6049, 5.0371, 9.6656 Å; angles 90.00, 108.46, 90.00 degrees
Closest atoms and distances in Å follow each position.
Space group C2/m (No. 12)
Asymmetric unit:
Pr1 0.0000 0.0000 0.0000 (multiplicity 2)  6 Br 2.86-3.10
Ag1 0.1900 0.0000 0.6283 (multiplicity 4)  4 Br 2.58-2.81
Br1 0.0215 0.0000 0.7156 (multiplicity 4)  1 Ag 2.68, 1 Pr 2.86
Br2 0.1389 0.5000 0.0793 (multiplicity 4)  1 Ag 3.04, 2 Pr 3.10
Br3 0.2028 0.5000 0.5766 (multiplicity 4)  3 Ag 2.58-2.81

***

A geometry-optimized Pr2AgBr2 structure, computed with PBE-GGA.

Cell lengths 4.2252, 4.2252, 33.8965 Å; angles 90.00, 90.00, 120.00 degrees
Closest atoms and distances in Å follow each position.
Space group R-3m (No. 166, hexagonal axes)
Asymmetric unit:
Pr1 0.0000 0.0000 0.1105 (multiplicity 6)  3 Br 3.08, 3 Ag 3.10
Ag1 0.0000 0.0000 0.5000 (multiplicity 3)  6 Pr 3.10
Br1 0.0000 0.0000 0.2782 (multiplicity 6)  3 Pr 3.08

***

A geometry-optimized Pr3AgBr3 structure, computed with PBE-GGA.

Cell lengths 17.3113, 17.3113, 10.5715 Å; angles 90.00, 90.00, 120.00 degrees
Closest atoms and distances in Å follow each position.
Space group R32 (No. 155, hexagonal axes)
Asymmetric unit:
Pr1 0.0000 0.2555 0.0000 (multiplicity 9)  2 Ag 2.99, 4 Br 3.13-3.14
Pr2 0.0000 0.4945 0.0000 (multiplicity 9)  2 Ag 2.99, 4 Br 3.13-3.14
Pr3 0.0796 0.1648 0.6596 (multiplicity 18)  2 Ag 2.99, 4 Br 3.13-3.15
Ag1 0.0000 0.0000 0.5000 (multiplicity 3)  6 Pr 2.99
Ag2 0.0000 0.2500 0.5000 (multiplicity 9)  6 Pr 2.99
Br1 0.0000 0.5067 0.5000 (multiplicity 9)  4 Pr 3.13-3.14
Br2 0.0000 0.7434 0.5000 (multiplicity 9)  4 Pr 3.13-3.15
Br3 0.0789 0.9145 0.1576 (multiplicity 18)  4 Pr 3.13-3.14

***

A geometry-optimized PrAg5Br8 structure, computed with PBE-GGA.

Cell lengths 9.4223, 9.4223, 8.9950 Å; angles 90.00, 90.00, 90.00 degrees
Closest atoms and distances in Å follow each position.
Space group I-4 (No. 82)
Asymmetric unit:
Pr1 0.0000 0.0000 0.0000 (multiplicity 2)  4 Br 2.91
Ag1 0.0000 0.5000 0.7500 (multiplicity 2)  4 Br 2.83
Ag2 0.2214 0.7771 0.4994 (multiplicity 8)  4 Br 2.72-2.79
Br1 0.0003 0.2050 0.6932 (multiplicity 8)  3 Ag 2.72-2.83
Br2 0.0006 0.7073 0.1037 (multiplicity 8)  2 Ag 2.78-2.79, 1 Pr 2.91

***

A geometry-optimized Rb2PrAgBr6 structure, computed with PBE-GGA.

energy above the most stable polymorph in this dataset	0	meV per atom

Cell lengths 7.9487, 8.2624, 13.6650 Å; angles 90.00, 125.14, 90.00 degrees
Closest atoms and distances in Å follow each position.
Space group P2_1/c (No. 14)
Asymmetric unit:
Rb1 0.2285 0.0668 0.2485 (multiplicity 4)  8 Br 3.50-3.91
Pr1 0.5000 0.0000 0.0000 (multiplicity 2)  6 Br 2.93
Ag1 0.0000 0.0000 0.5000 (multiplicity 2)  6 Br 2.84-3.00
Br1 0.1594 0.2009 0.9554 (multiplicity 4)  1 Pr 2.93, 1 Ag 3.00
Br2 0.2584 0.7073 0.9573 (multiplicity 4)  1 Pr 2.93, 1 Ag 2.98
Br3 0.3320 0.0178 0.7453 (multiplicity 4)  1 Ag 2.84, 1 Pr 2.93

***

A geometry-optimized Rb3PrAg2Br9 structure, computed with PBE-GGA.

Cell lengths 7.9448, 7.9448, 9.9509 Å; angles 90.00, 90.00, 120.00 degrees
Closest atoms and distances in Å follow each position.
Space group P-3m1 (No. 164)
Asymmetric unit:
Rb1 0.0000 0.0000 0.0000 (multiplicity 1)  12 Br 3.97-4.01
Rb2 0.3333 0.6667 0.7079 (multiplicity 2)  9 Br 3.70-3.99
Pr1 0.0000 0.0000 0.5000 (multiplicity 1)  6 Br 2.89
Ag1 0.3333 0.6667 0.1515 (multiplicity 2)  6 Br 2.74-2.86
Br1 0.0000 0.5000 0.0000 (multiplicity 3)  2 Ag 2.74
Br2 0.1694 0.3388 0.3277 (multiplicity 6)  1 Ag 2.86, 1 Pr 2.89

***

A geometry-optimized Rb2PrAg2Br6 structure, computed with PBE-GGA.

Cell lengths 13.4773, 8.4612, 8.8957 Å; angles 90.00, 119.56, 90.00 degrees
Closest atoms and distances in Å follow each position.
Space group C2/m (No. 12)
Asymmetric unit:
Rb1 0.2162 0.0000 0.1580 (multiplicity 4)  5 Br 3.43-3.57
Pr1 0.0000 0.0000 0.5000 (multiplicity 2)  6 Br 2.92-2.95
Ag1 0.0494 0.5000 0.1758 (multiplicity 4)  1 Ag 2.73, 3 Br 2.73-2.87
Br1 0.0661 0.2350 0.7778 (multiplicity 8)  1 Ag 2.87, 1 Pr 2.95
Br2 0.2321 0.0000 0.5548 (multiplicity 4)  1 Ag 2.73, 1 Pr 2.92

***

A geometry-optimized RbPrAgBr6 structure, computed with PBE-GGA.

Cell lengths 7.4218, 7.4218, 15.2533 Å; angles 90.00, 90.00, 120.00 degrees
Closest atoms and distances in Å follow each position.
Space group P-31c (No. 163)
Asymmetric unit:
Rb1 0.0000 0.0000 0.0000 (multiplicity 2)  6 Br 3.53
Pr1 0.3333 0.6667 0.2500 (multiplicity 2)  6 Br 2.93
Ag1 0.3333 0.6667 0.7500 (multiplicity 2)  6 Br 2.81
Br1 0.0128 0.3856 0.6396 (multiplicity 12)  1 Ag 2.81, 1 Pr 2.93

***

Uncorrected formation energy readings, ordered: -8.059 -8.170 -5.163 -7.802 -10.368 -15.349 -19.250 -13.584 -11.387 eV per formula unit